Record 1
Below is a PBEsol-optimized structure of LaSc2Pt, with properties calculated at the meta-GGA SCAN level.

Calculated values
space-group type = No. 10
calculated density = 7.6 Mg/m³
E_tot = -35.9703 eV/atom
M_tot = 0.00 Bohr magnetons per cell

Cell: 3.552 4.454 6.089 Å, 90.00 106.76 90.00°
Element x y z (fractional)
La 0.000 0.000 0.000
Sc 0.384 0.500 0.710
Sc 0.616 0.500 0.290
Pt 0.000 0.000 0.500

=====

Record 2
Below is a PBEsol-optimized structure of LaSc2Pt2, with properties calculated at the meta-GGA SCAN level.

Calculated values
space-group type = No. 139
calculated density = 9.3 Mg/m³
E_tot = -43.6304 eV/atom
M_tot = 0.00 Bohr magnetons per cell

Cell: 6.508 6.508 6.508 Å, 140.52 140.52 57.06°
Element x y z (fractional)
La 0.000 0.000 0.000
Sc 0.250 0.750 0.500
Sc 0.750 0.250 0.500
Pt 0.384 0.384 0.000
Pt 0.616 0.616 0.000

=====

Record 3
Below is a PBEsol-optimized structure of La2ScPt, with properties calculated at the meta-GGA SCAN level.

Calculated values
relative energy among the computed polymorphs = 0.00 eV per formula unit
space-group type = No. 99
calculated density = 8.4 Mg/m³
E_tot = -43.3160 eV/atom
M_tot = 0.00 Bohr magnetons per cell

Cell: 3.477 3.477 8.517 Å, 90.00 90.00 90.00°
Element x y z (fractional)
La 0.000 0.000 0.000
La 0.500 0.500 0.328
Sc 0.500 0.500 0.708
Pt 0.000 0.000 0.559

=====

Record 4
Below is a PBEsol-optimized structure of La2ScPt, with properties calculated at the meta-GGA SCAN level.

Calculated values
relative energy among the computed polymorphs = 0.33 eV per formula unit
space-group type = No. 123
calculated density = 8.2 Mg/m³
E_tot = -43.2332 eV/atom
M_tot = 0.00 Bohr magnetons per cell

Cell: 3.755 3.755 7.426 Å, 90.00 90.00 90.00°
Element x y z (fractional)
La 0.000 0.000 0.217
La 0.000 0.000 0.783
Sc 0.500 0.500 0.500
Pt 0.500 0.500 0.000

=====

Record 5
Below is a PBEsol-optimized structure of La4ScPt, with properties calculated at the meta-GGA SCAN level.

Calculated values
space-group type = No. 216
calculated density = 7.9 Mg/m³
E_tot = -42.4451 eV/atom
M_tot = 0.00 Bohr magnetons per cell

Cell: 6.191 6.191 6.191 Å, 60.00 60.00 60.00°
Element x y z (fractional)
La 0.376 0.376 0.376
La 0.376 0.376 0.871
La 0.376 0.871 0.376
La 0.871 0.376 0.376
Sc 0.000 0.000 0.000
Pt 0.750 0.750 0.750

=====

Record 6
Below is a PBEsol-optimized structure of LaScPt, with properties calculated at the meta-GGA SCAN level.

Calculated values
space-group type = No. 216
calculated density = 8.8 Mg/m³
E_tot = -42.6462 eV/atom
M_tot = 0.00 Bohr magnetons per cell

Cell: 4.667 4.667 4.667 Å, 60.00 60.00 60.00°
Element x y z (fractional)
La 0.000 0.000 0.000
Sc 0.250 0.250 0.250
Pt 0.750 0.750 0.750

=====

Record 7
Below is a PBEsol-optimized structure of LaSc2SnPt, with properties calculated at the meta-GGA SCAN level.

Calculated values
space-group type = No. 123
calculated density = 6.4 Mg/m³
E_tot = -36.2377 eV/atom
M_tot = 0.00 Bohr magnetons per cell

Cell: 5.096 5.096 5.392 Å, 90.00 90.00 90.00°
Element x y z (fractional)
La 0.000 0.000 0.000
Sc 0.000 0.500 0.500
Sc 0.500 0.000 0.500
Sn 0.500 0.500 0.000
Pt 0.000 0.000 0.500

=====

Record 8
Below is a PBEsol-optimized structure of LaScTe2Pt, with properties calculated at the meta-GGA SCAN level.

Calculated values
uncorrected formation energy = 0.01 eV/atom
space-group type = No. 123
calculated density = 5.9 Mg/m³
E_tot = -40.4004 eV/atom
M_tot = 0.38 Bohr magnetons per cell

Cell: 5.934 5.934 5.050 Å, 90.00 90.00 90.00°
Element x y z (fractional)
La 0.000 0.000 0.000
Sc 0.500 0.500 0.500
Te 0.000 0.500 0.000
Te 0.500 0.000 0.000
Pt 0.000 0.000 0.500

=====

Record 9
Below is a PBEsol-optimized structure of LaPtSe2, with properties calculated at the meta-GGA SCAN level.

Calculated values
relative energy among the computed polymorphs = 0.93 eV per formula unit
uncorrected formation energy = -0.95 eV/atom
space-group type = No. 69
calculated density = 8.9 Mg/m³
E_tot = -39.3186 eV/atom
M_tot = 0.00 Bohr magnetons per cell

Cell: 5.787 5.338 4.571 Å, 70.98 60.70 48.31°
Element x y z (fractional)
La 0.000 0.000 0.000
Pt 0.500 0.500 0.500
Se 0.000 0.500 0.500
Se 0.500 0.000 0.000

=====

Record 10
Below is a PBEsol-optimized structure of LaPtSe2, with properties calculated at the meta-GGA SCAN level.

Calculated values
relative energy among the computed polymorphs = 0.00 eV per formula unit
uncorrected formation energy = -1.19 eV/atom
space-group type = No. 71
calculated density = 9.4 Mg/m³
E_tot = -39.5508 eV/atom
M_tot = 0.00 Bohr magnetons per cell

Cell: 5.131 5.131 5.131 Å, 132.52 114.84 84.50°
Element x y z (fractional)
La 0.000 0.000 0.000
Pt 0.500 0.500 0.000
Se 0.301 0.801 0.500
Se 0.699 0.199 0.500

=====

Record 11
Below is a PBEsol-optimized structure of LaPt2Se, with properties calculated at the meta-GGA SCAN level.

Calculated values
uncorrected formation energy = -0.83 eV/atom
space-group type = No. 166
calculated density = 12.1 Mg/m³
E_tot = -51.7262 eV/atom
M_tot = 0.00 Bohr magnetons per cell

Cell: 5.582 5.582 5.582 Å, 46.41 46.41 46.41°
Element x y z (fractional)
La 0.000 0.000 0.000
Pt 0.215 0.215 0.215
Pt 0.785 0.785 0.785
Se 0.500 0.500 0.500

=====

Record 12
Below is a PBEsol-optimized structure of La2PtSe, with properties calculated at the meta-GGA SCAN level.

Calculated values
uncorrected formation energy = -1.78 eV/atom
space-group type = No. 166
calculated density = 8.4 Mg/m³
E_tot = -45.9012 eV/atom
M_tot = 0.00 Bohr magnetons per cell

Cell: 7.739 7.739 7.739 Å, 31.02 31.02 31.02°
Element x y z (fractional)
La 0.244 0.244 0.244
La 0.756 0.756 0.756
Pt 0.500 0.500 0.500
Se 0.000 0.000 0.000

=====

Record 13
Below is a PBEsol-optimized structure of La2PtSe, with properties calculated at the meta-GGA SCAN level.

Calculated values
uncorrected formation energy = -1.75 eV/atom
space-group type = No. 123
calculated density = 8.5 Mg/m³
E_tot = -45.8694 eV/atom
M_tot = 0.00 Bohr magnetons per cell

Cell: 4.231 4.231 6.041 Å, 90.00 90.00 90.00°
Element x y z (fractional)
La 0.000 0.000 0.000
La 0.500 0.500 0.500
Pt 0.000 0.000 0.500
Se 0.500 0.500 0.000

=====

Record 14
Below is a PBEsol-optimized structure of LaSiPt2, with properties calculated at the meta-GGA SCAN level.

Calculated values
uncorrected formation energy = -1.22 eV/atom
space-group type = No. 166
calculated density = 11.7 Mg/m³
E_tot = -49.5968 eV/atom
M_tot = 0.00 Bohr magnetons per cell

Cell: 5.743 5.743 5.743 Å, 42.72 42.72 42.72°
Element x y z (fractional)
La 0.000 0.000 0.000
Si 0.500 0.500 0.500
Pt 0.209 0.209 0.209
Pt 0.791 0.791 0.791

=====

Record 15
Below is a PBEsol-optimized structure of LaSiPt, with properties calculated at the meta-GGA SCAN level.

Calculated values
uncorrected formation energy = -1.33 eV/atom
space-group type = No. 109
calculated density = 9.3 Mg/m³
E_tot = -42.4343 eV/atom
M_tot = 0.00 Bohr magnetons per cell

Cell: 7.821 7.821 7.821 Å, 148.64 148.64 44.94°
Element x y z (fractional)
La 0.000 0.000 0.000
La 0.750 0.250 0.500
Si 0.331 0.831 0.500
Si 0.581 0.581 0.000
Pt 0.162 0.662 0.500
Pt 0.412 0.412 0.000

=====

Record 16
Below is a PBEsol-optimized structure of LaSi2Pt2, with properties calculated at the meta-GGA SCAN level.

Calculated values
uncorrected formation energy = -1.31 eV/atom
space-group type = No. 129
calculated density = 10.9 Mg/m³
E_tot = -42.0187 eV/atom
M_tot = 0.00 Bohr magnetons per cell

Cell: 4.268 4.268 9.814 Å, 90.00 90.00 90.00°
Element x y z (fractional)
La 0.250 0.250 0.244
La 0.750 0.750 0.756
Si 0.250 0.250 0.630
Si 0.250 0.750 0.000
Si 0.750 0.250 0.000
Si 0.750 0.750 0.370
Pt 0.250 0.250 0.879
Pt 0.250 0.750 0.500
Pt 0.750 0.250 0.500
Pt 0.750 0.750 0.121

=====

Record 17
Below is a PBEsol-optimized structure of LaSiPt, with properties calculated at the meta-GGA SCAN level.

Calculated values
uncorrected formation energy = -1.30 eV/atom
space-group type = No. 187
calculated density = 9.2 Mg/m³
E_tot = -42.4028 eV/atom
M_tot = 0.00 Bohr magnetons per cell

Cell: 4.181 4.181 4.297 Å, 90.00 90.00 120.00°
Element x y z (fractional)
La 0.000 0.000 0.000
Si 0.667 0.333 0.500
Pt 0.333 0.667 0.500

=====

Record 18
Below is a PBEsol-optimized structure of LaSi2Pt2, with properties calculated at the meta-GGA SCAN level.

Calculated values
uncorrected formation energy = -1.28 eV/atom
space-group type = No. 139
calculated density = 10.7 Mg/m³
E_tot = -41.9847 eV/atom
M_tot = 0.00 Bohr magnetons per cell

Cell: 5.803 5.803 5.803 Å, 136.59 136.59 63.07°
Element x y z (fractional)
La 0.000 0.000 0.000
Si 0.250 0.750 0.500
Si 0.750 0.250 0.500
Pt 0.363 0.363 0.000
Pt 0.637 0.637 0.000

=====

Record 19
Below is a PBEsol-optimized structure of LaSiPt, with properties calculated at the meta-GGA SCAN level.

Calculated values
uncorrected formation energy = -0.80 eV/atom
space-group type = No. 216
calculated density = 8.6 Mg/m³
E_tot = -41.8999 eV/atom
M_tot = 0.85 Bohr magnetons per cell

Cell: 4.620 4.620 4.620 Å, 60.00 60.00 60.00°
Element x y z (fractional)
La 0.000 0.000 0.000
Si 0.500 0.500 0.500
Pt 0.250 0.250 0.250

=====

Record 20
Below is a PBEsol-optimized structure of La2SnPt2, with properties calculated at the meta-GGA SCAN level.

Calculated values
space-group type = No. 139
calculated density = 10.2 Mg/m³
E_tot = -53.4986 eV/atom
M_tot = 0.00 Bohr magnetons per cell

Cell: 9.043 9.043 9.043 Å, 155.34 155.34 35.16°
Element x y z (fractional)
La 0.122 0.122 0.000
La 0.878 0.878 0.000
Sn 0.500 0.500 0.000
Pt 0.250 0.750 0.500
Pt 0.750 0.250 0.500